# 1
AlFeHgTe2, relaxed, DFT PBE-GGA; crystal system = tetragonal; ΔE_f (raw) = 0.63 eV per atom; M_tot = 3.491 Bohr magnetons per cell; symmetry = P4/mmm, No. 123; density of states at the Fermi level = 5.65 states/eV per cell; DFT total energy = -15.64 eV for the cell shown
1.0
-4.566 -0.702 -2.828
2.552 -0.375 -4.028
0.370 -5.354 0.732
Al Te Hg Fe
1 2 1 1
Direct
0.000 0.000 0.000
0.000 0.000 0.500
0.500 0.000 0.000
0.500 0.500 0.500
0.000 0.500 0.000

# 2
TlTeN2F, relaxed, DFT PBE-GGA; crystal system = tetragonal; ΔE_f (raw) = 1.56 eV per atom; M_tot = 5.241 Bohr magnetons per cell; relative energy among the computed polymorphs = 1090 meV/atom; symmetry = P4/mmm, No. 123; density of states at the Fermi level = 3.10 states/eV per cell; DFT total energy = -16.25 eV for the cell shown
1.0
5.066 0.000 0.000
0.000 5.066 0.000
0.000 0.000 4.289
N Tl Te F
2 1 1 1
Direct
0.000 0.500 0.000
0.500 0.000 0.000
0.500 0.500 0.500
0.000 0.000 0.500
0.000 0.000 0.000

# 3
ZrSc2Se, relaxed, DFT PBE-GGA; crystal system = orthorhombic; ΔE_f (raw) = -0.52 eV per atom; M_tot = 0.000 Bohr magnetons per cell; symmetry = Cmm2, No. 35; density of states at the Fermi level = 5.88 states/eV per cell; DFT total energy = -26.76 eV for the cell shown
1.0
-2.863 0.385 1.580
0.322 -3.261 -0.323
4.098 -0.339 7.510
Sc Se Zr
2 1 1
Direct
0.000 0.000 0.993
0.500 0.500 0.290
0.000 0.000 0.499
0.500 0.500 0.718

# 4
Rb2PClF6, relaxed, DFT PBE-GGA; crystal system = triclinic; ΔE_f (raw) = -2.59 eV per atom; M_tot = 0.143 Bohr magnetons per cell; relative energy among the computed polymorphs = 0 meV/atom; symmetry = P-1, No. 2; density of states at the Fermi level = 0.00 states/eV per cell; DFT total energy = -46.31 eV for the cell shown
1.0
7.871 1.237 1.248
5.019 6.128 1.014
5.167 2.753 5.544
Rb P Cl F
2 1 1 6
Direct
0.537 0.569 0.271
0.096 0.063 0.832
0.316 0.316 0.052
0.816 0.816 0.552
0.418 0.328 0.156
0.199 0.078 0.372
0.997 0.555 0.166
0.434 0.554 0.731
0.635 0.078 0.937
0.214 0.305 0.947

# 5
MnTe2Os, relaxed, DFT PBE-GGA; crystal system = orthorhombic; ΔE_f (raw) = 0.48 eV per atom; M_tot = 4.061 Bohr magnetons per cell; relative energy among the computed polymorphs = 402 meV/atom; symmetry = Imm2, No. 44; density of states at the Fermi level = 3.38 states/eV per cell; DFT total energy = -24.75 eV for the cell shown
1.0
-3.260 5.520 1.897
-3.175 1.603 5.660
5.402 -1.994 -3.396
Mn Os Te
1 1 2
Direct
0.428 0.428 0.000
0.240 0.740 0.500
0.051 0.051 0.000
0.781 0.281 0.500

# 6
LiCaAcTb, relaxed, DFT PBE-GGA; crystal system = cubic; M_tot = 0.000 Bohr magnetons per cell; symmetry = F-43m, No. 216; density of states at the Fermi level = 4.32 states/eV per cell; energy relative to the elements = 247 meV/atom; DFT total energy = -11.66 eV for the cell shown
1.0
-4.767 3.341 -0.640
-3.664 -0.952 -4.469
-5.312 -2.255 0.998
Ac Tb Ca Li
1 1 1 1
Direct
0.500 0.500 0.500
0.750 0.750 0.750
0.250 0.250 0.250
0.000 0.000 0.000